A geometry-optimized K3NiB2O6 structure, computed with GGA+U.

a = 5.4113 Å, b = 5.4113 Å, c = 6.6878 Å
α = 90.00°, β = 90.00°, γ = 120.00°
Closest atoms and distances in Å follow each position.
Element x y z (fractional)
K: 0.3333 0.6667 0.7347  6 O 2.73, 1 B 2.83
K: 0.6667 0.3333 0.2653  6 O 2.73, 1 B 2.83
K: 0.0000 0.0000 0.0000  6 O 2.70
Ni: 0.0000 0.0000 0.5000  6 O 2.16
B: 0.6667 0.3333 0.6892  3 O 1.39
B: 0.3333 0.6667 0.3108  3 O 1.39
O: 0.6290 0.8145 0.3083  1 B 1.39
O: 0.1855 0.3710 0.3083  1 B 1.39
O: 0.1855 0.8145 0.3083  1 B 1.39
O: 0.8145 0.6290 0.6917  1 B 1.39
O: 0.3710 0.1855 0.6917  1 B 1.39
O: 0.8145 0.1855 0.6917  1 B 1.39

Values from the calculation:
total DFT energy (no corrections) = -5.90 eV per atom